Entry 1:
Entry from the Alexandria database: an optimized crystal structure of CdGa3Mo (PBEsol).

Computed properties:
E_form in eV/atom: 0.530

a b c (Å): 4.8604 4.8604 4.8604
angles (deg): 90.00 90.00 90.00
Closest atoms and distances in Å follow each position.
Positions (direct):
Ga 0.0000 0.5000 0.0000  2 Mo 2.43
Ga 0.5000 0.0000 0.0000  2 Mo 2.43
Ga 0.0000 0.0000 0.5000  2 Mo 2.43
Mo 0.0000 0.0000 0.0000  6 Ga 2.43
Cd 0.5000 0.5000 0.5000  12 Ga 3.44

=====

Entry 2:
Entry from the Alexandria database: an optimized crystal structure of TlAgF2 (PBEsol).

Computed properties:
Distance to the lowest polymorph of the same formula in meV per atom: 5
Uncorrected formation energy in meV per atom: -1215

a b c (Å): 3.7262 3.7262 7.5997
angles (deg): 75.81 75.81 60.00
Closest atoms and distances in Å follow each position.
Positions (direct):
F 0.0928 0.0928 0.7217  1 Ag 2.03
F 0.9072 0.9072 0.2783  1 Ag 2.03
Ag 0.0000 0.0000 0.0000  2 F 2.03
Tl 0.5000 0.5000 0.5000  6 F 2.69

=====

Entry 3:
Entry from the Alexandria database: an optimized crystal structure of HgRu2RhBr (PBEsol).

Computed properties:
Uncorrected formation energy in meV per atom: 1543

a b c (Å): 4.8133 4.6698 4.6698
angles (deg): 90.00 90.00 90.00
Closest atoms and distances in Å follow each position.
Positions (direct):
Rh 0.0000 0.0000 0.0000  4 Ru 2.33, 2 Br 2.41
Ru 0.0000 0.5000 0.0000  2 Rh 2.33
Ru 0.0000 0.0000 0.5000  2 Rh 2.33
Br 0.5000 0.0000 0.0000  2 Rh 2.41
Hg 0.5000 0.5000 0.5000  4 Br 3.30, 8 Ru 3.35

=====

| no. | N(E_F) (states/eV/cell) |
| --- | --- |
| 1 | 4.709 |
| 2 | 0.000 |
| 3 | 8.533 |